[1]
{"formula": "YScCu", "functional": "SCAN", "state": "PBEsol geometry", "lattice": [[-1.411, 2.059, -2.170], [-2.991, -0.951, 1.043], [2.245, 3.722, 4.592]], "species": ["Y", "Sc", "Cu"], "fractional_positions": [[0.354, 0.354, 0.707], [0.633, 0.633, 0.266], [0.013, 0.013, 0.027]], "total_energy_ev_per_atom": -19.259, "dos_ef_per_ev_cell": 3.5, "spacegroup": "I4mm", "crystal_system": "tetragonal"}

=====

[2]
{"formula": "Y2ScCu", "functional": "SCAN", "state": "PBEsol geometry", "lattice": [[-0.643, 1.095, 3.100], [-3.244, 0.301, -0.779], [-1.338, -7.919, 2.519]], "species": ["Y", "Y", "Sc", "Cu"], "fractional_positions": [[0.000, 0.000, 0.982], [0.500, 0.500, 0.303], [0.500, 0.500, 0.690], [0.000, 0.000, 0.525]], "total_energy_ev_per_atom": -21.377, "polymorph_energy_mev_per_atom": 9, "dos_ef_per_ev_cell": 5.8, "spacegroup": "P4mm", "crystal_system": "tetragonal"}

=====

[3]
{"formula": "YSc2Cu", "functional": "SCAN", "state": "PBEsol geometry", "lattice": [[3.368, 0.000, 0.000], [0.000, 4.956, 0.000], [-1.684, -2.478, 5.243]], "species": ["Y", "Sc", "Sc", "Cu"], "fractional_positions": [[0.500, 0.000, 0.000], [0.709, 0.709, 0.417], [0.291, 0.291, 0.583], [0.000, 0.500, 0.000]], "total_energy_ev_per_atom": -17.999, "polymorph_energy_mev_per_atom": 0, "dos_ef_per_ev_cell": 4.7, "spacegroup": "Immm", "crystal_system": "orthorhombic"}

=====

[4]
{"formula": "YScCu2", "functional": "SCAN", "state": "PBEsol geometry", "lattice": [[-1.493, -2.895, 1.274], [-1.373, -1.042, -3.978], [4.962, -1.095, -1.426]], "species": ["Y", "Sc", "Cu", "Cu"], "fractional_positions": [[0.231, 0.500, 0.836], [0.513, 0.000, 0.401], [0.807, 0.000, 0.988], [0.948, 0.500, 0.274]], "total_energy_ev_per_atom": -18.409, "polymorph_energy_mev_per_atom": 30, "dos_ef_per_ev_cell": 3.2, "spacegroup": "Pm", "crystal_system": "monoclinic"}

=====

[5]
{"formula": "Y2ScCu", "functional": "SCAN", "state": "PBEsol geometry", "lattice": [[-2.992, -0.608, 1.900], [2.706, -2.561, 3.441], [0.771, 4.292, 2.589]], "species": ["Cu", "Sc", "Y", "Y"], "fractional_positions": [[0.500, 0.500, 0.500], [0.500, 0.000, 0.000], [0.000, 0.000, 0.500], [0.000, 0.500, 0.000]], "total_energy_ev_per_atom": -21.195, "polymorph_energy_mev_per_atom": 191, "dos_ef_per_ev_cell": 4.7, "spacegroup": "P4/mmm", "crystal_system": "tetragonal"}

=====

[6]
{"formula": "Y2ScCu", "functional": "SCAN", "state": "PBEsol geometry", "lattice": [[3.466, 0.000, 0.000], [0.000, 5.063, 0.000], [-1.733, -2.531, 5.383]], "species": ["Y", "Y", "Sc", "Cu"], "fractional_positions": [[0.001, 0.001, 0.003], [0.211, 0.711, 0.422], [0.799, 0.299, 0.598], [0.489, 0.489, 0.978]], "total_energy_ev_per_atom": -21.386, "polymorph_energy_mev_per_atom": 0, "dos_ef_per_ev_cell": 4.6, "spacegroup": "Imm2", "crystal_system": "orthorhombic"}